## Li2YSb (PBE-GGA)

Data for a geometry-optimized Li2YSb structure.

Cell: 5.5782 5.5782 4.4735 Å, 100.86 100.86 44.56°
With the nearest neighbours (Å) after each atom.
Atoms (fractional coordinates):
Li1 0.2500 0.2500 0.2078  2 Li 2.82, 1 Sb 2.92, 1 Y 3.12
Li2 0.7500 0.7500 0.7922  2 Li 2.82, 1 Sb 2.92, 1 Y 3.12
Y1 0.0000 0.0000 0.5000  4 Sb 3.08, 6 Li 3.12-3.39
Sb1 0.5000 0.5000 0.0000  2 Li 2.92, 4 Y 3.08

Calculated values
**M_tot**: 0.0 μB per cell
**Symmetry**: No. 12
**Raw total energy**: -4.018 eV/atom
**Crystal system**: monoclinic